Density functional theory data (GGA-PBE) for NaAsSe2Br after structural relaxation.

Values from the calculation:
total DFT energy (no corrections): -3.158 eV/atom
density: 3.9 g/cm3
SG: P4/mmm, No. 123

```
5
Lattice="5.047 0.000 0.000 0.000 5.047 0.000 0.000 0.000 5.606" Properties=species:S:1:pos:R:3 pbc="T T T"
Na 0.000 0.000 0.000
As 2.523 2.523 2.803
Se 0.000 2.523 2.803
Se 2.523 0.000 2.803
Br 2.523 2.523 0.000
```

***

Density functional theory data (GGA-PBE) for U2In8Co after structural relaxation.

Values from the calculation:
total DFT energy (no corrections): -4.701 eV/atom
density: 9.4 g/cm3
SG: P4/mmm, No. 123

```
11
Lattice="4.612 0.000 0.000 0.000 4.612 0.000 0.000 0.000 12.115" Properties=species:S:1:pos:R:3 pbc="T T T"
U 0.000 0.000 2.346
U 0.000 0.000 9.769
In 0.000 2.306 0.000
In 0.000 2.306 4.608
In 0.000 2.306 7.507
In 2.306 0.000 0.000
In 2.306 0.000 4.608
In 2.306 0.000 7.507
In 2.306 2.306 2.319
In 2.306 2.306 9.796
Co 0.000 0.000 6.057
```

***

Density functional theory data (GGA-PBE) for Na13Sn3 after structural relaxation.

Values from the calculation:
total DFT energy (no corrections): -1.897 eV/atom
density: 2.1 g/cm3
SG: Amm2, No. 38

```
16
Lattice="7.604 0.000 0.000 0.000 5.749 5.910 0.000 -5.749 5.910" Properties=species:S:1:pos:R:3 pbc="T T T"
Na 0.000 0.000 0.000
Na 0.000 -2.394 3.162
Na 0.000 0.000 5.558
Na 0.000 2.394 3.162
Na 1.848 0.000 8.721
Na 1.991 -3.052 6.264
Na 1.991 3.052 6.264
Na 3.802 -2.847 3.331
Na 3.802 0.000 5.478
Na 3.802 2.847 3.331
Na 5.612 -3.052 6.264
Na 5.612 3.052 6.264
Na 5.756 0.000 8.721
Sn 2.290 0.000 2.433
Sn 3.802 0.000 11.477
Sn 5.313 0.000 2.433
```